4
Lattice="2.2435 1.2953 6.0895 -2.2435 1.2953 6.0895 0.0000 -2.5905 6.0895" Properties=species:S:1:pos:R:3 comment="Ga2HgBi (PBE-GGA, optimized geometry)" e_form_ev_per_atom=0.095 de_polymorph_mev_per_atom=41.6 pbc="T T T"
Ga 0.0000 0.0000 0.0000
Ga 0.0000 0.0000 2.9287
Hg 0.0000 0.0000 7.3716
Bi 0.0000 0.0000 10.6387

=====

12
Lattice="9.1226 -1.9624 0.0000 9.1226 1.9624 0.0000 -2.7701 0.0000 8.0116" Properties=species:S:1:pos:R:3 comment="La6PN2Cl3 (PBE-GGA, optimized geometry)" raw_formation_energy_ev_per_atom=-1.615 pbc="T T T"
La -0.2696 0.0000 2.0066
La 4.5712 0.0000 3.5925
La 3.6902 0.0000 6.9592
La 11.7848 0.0000 1.0524
La 10.9038 0.0000 4.4191
La 15.7446 0.0000 6.0050
P 9.1226 0.0000 0.0000
N 2.2091 0.0000 2.7112
N 13.2660 0.0000 5.3004
Cl 0.6470 0.0000 6.6496
Cl 7.7375 0.0000 4.0058
Cl 14.8281 0.0000 1.3620

=====

5
Lattice="5.8124 0.0000 0.0000 0.0000 5.8124 0.0000 0.0000 0.0000 3.7421" Properties=species:S:1:pos:R:3 comment="Ba2MnPdN (PBE-GGA, optimized geometry)" raw_formation_energy_ev_per_atom=-0.338 pbc="T T T"
Ba 0.0000 2.9062 0.0000
Ba 2.9062 0.0000 0.0000
Mn 0.0000 0.0000 1.8711
Pd 2.9062 2.9062 1.8711
N 0.0000 0.0000 0.0000

=====

80
Lattice="-7.5722 7.5722 7.5722 7.5722 -7.5722 7.5722 7.5722 7.5722 -7.5722" Properties=species:S:1:pos:R:3 comment="Er12H5Au3 (PBE-GGA, optimized geometry)" e_tot_ev_per_atom=-4.48 pbc="T T T"
Er 2.3168 -0.6007 0.8671
Er 9.0415 4.6532 -4.3868
Er 6.9714 -0.8671 2.3168
Er 11.9590 -1.4693 2.9190
Er 9.8890 0.6007 0.8671
Er 9.0415 -2.9190 4.3868
Er 0.8671 2.3168 -0.6007
Er 10.4912 3.1853 -1.4693
Er 4.6532 4.3868 -1.4693
Er 6.7051 2.3168 0.6007
Er -0.6007 0.8671 2.3168
Er 4.3868 -1.4693 4.6532
Er 6.9714 6.7051 -2.3168
Er 4.3868 1.4693 2.9190
Er 6.7051 -2.3168 6.9714
Er 4.6532 -4.3868 9.0415
Er 2.9190 4.3868 1.4693
Er 8.4392 5.2554 0.6007
Er 2.3168 6.9714 -0.8671
Er 9.0415 2.9190 3.1853
Er 4.3868 9.0415 -2.9190
Er 6.9714 0.8671 5.2554
Er 1.4693 2.9190 4.3868
Er 2.3168 0.6007 6.7051
Er 5.2554 6.9714 0.8671
Er 6.1029 4.6532 3.1853
Er 0.6007 6.7051 2.3168
Er 3.1853 -1.4693 10.4912
Er -1.4693 4.6532 4.3868
Er 5.2554 0.6007 8.4392
Er -0.8671 2.3168 6.9714
Er 4.6532 3.1853 6.1029
Er 2.9190 11.9590 -1.4693
Er 0.8671 9.8890 0.6007
Er 3.1853 6.1029 4.6532
Er 0.6007 0.8671 9.8890
Er 3.1853 9.0415 2.9190
Er 8.1729 6.7051 5.2554
Er 0.8671 5.2554 6.9714
Er 2.9190 3.1853 9.0415
Er -2.9190 4.3868 9.0415
Er 6.7051 5.2554 8.1729
Er -1.4693 10.4912 3.1853
Er -2.3168 6.9714 6.7051
Er -4.3868 9.0415 4.6532
Er 0.6007 8.4392 5.2554
Er -1.4693 2.9190 11.9590
Er 5.2554 8.1729 6.7051
H 0.0000 0.0000 0.0000
H 3.7861 3.7861 -3.7861
H 3.7861 -3.7861 3.7861
H 7.5722 0.0000 0.0000
H 11.3582 1.8930 0.0000
H 7.5722 -3.7861 5.6791
H 5.6791 7.5722 -3.7861
H 5.6791 0.0000 3.7861
H 3.7861 5.6791 0.0000
H 7.5722 3.7861 1.8930
H -3.7861 3.7861 3.7861
H 0.0000 7.5722 0.0000
H 0.0000 0.0000 7.5722
H 3.7861 3.7861 3.7861
H 0.0000 3.7861 5.6791
H 3.7861 1.8930 7.5722
H 1.8930 7.5722 3.7861
H 1.8930 0.0000 11.3582
H 0.0000 11.3582 1.8930
H -3.7861 5.6791 7.5722
Au 3.7861 1.8930 0.0000
Au 7.5722 3.7861 -1.8930
Au 1.8930 0.0000 3.7861
Au 9.4652 0.0000 3.7861
Au 0.0000 3.7861 1.8930
Au 3.7861 -1.8930 7.5722
Au 3.7861 9.4652 0.0000
Au 7.5722 3.7861 5.6791
Au -1.8930 7.5722 3.7861
Au 5.6791 7.5722 3.7861
Au 0.0000 3.7861 9.4652
Au 3.7861 5.6791 7.5722

=====

3
Lattice="0.0000 2.7238 2.7238 2.7238 0.0000 2.7238 2.7238 2.7238 0.0000" Properties=species:S:1:pos:R:3 comment="LiMnBe (PBE-GGA, optimized geometry)" e_form_ev_per_atom=0.637 de_polymorph_mev_per_atom=430.2 pbc="T T T"
Li 0.0000 0.0000 0.0000
Mn 2.7238 2.7238 2.7238
Be 4.0857 4.0857 4.0857

=====

9
Lattice="4.3142 0.0000 0.0000 0.0000 4.3142 0.0000 0.0000 0.0000 10.0668" Properties=species:S:1:pos:R:3 comment="LaNpAl2Ga5 (PBE-GGA, optimized geometry)" e_form_ev_per_atom=-0.219 pbc="T T T"
La 0.0000 0.0000 0.0000
Np 0.0000 0.0000 5.0334
Al 2.1571 2.1571 3.8131
Al 2.1571 2.1571 6.2537
Ga 0.0000 2.1571 2.3463
Ga 0.0000 2.1571 7.7204
Ga 2.1571 0.0000 2.3463
Ga 2.1571 0.0000 7.7204
Ga 2.1571 2.1571 0.0000

=====

4
Lattice="3.6176 -4.7253 0.0000 3.6176 4.7253 0.0000 -3.5571 0.0000 4.0229" Properties=species:S:1:pos:R:3 comment="BaPBr2 (PBE-GGA, optimized geometry)" raw_formation_energy_ev_per_atom=-0.705 de_polymorph_mev_per_atom=202.3 pbc="T T T"
Ba 0.0000 0.0000 0.0000
P 3.6176 0.0000 0.0000
Br 0.0303 2.3626 2.0114
Br 0.0303 -2.3626 2.0114

=====

4
Lattice="-1.9887 1.9887 4.1929 1.9887 -1.9887 4.1929 1.9887 1.9887 -4.1929" Properties=species:S:1:pos:R:3 comment="TlIr2W (PBE-GGA, optimized geometry)" e_form_ev_per_atom=0.518 de_polymorph_mev_per_atom=447.0 pbc="T T T"
Tl 0.0000 0.0000 0.0000
Ir 1.9887 0.0000 2.0965
Ir 0.0000 0.0000 4.1929
W 0.0000 1.9887 2.0965

=====

18
Lattice="6.2584 -5.9142 0.0000 6.2584 5.9142 0.0000 -3.3762 0.0000 5.9040" Properties=species:S:1:pos:R:3 comment="CrNi2Te6 (PBE-GGA, optimized geometry)" raw_formation_energy_ev_per_atom=-0.139 pbc="T T T"
Cr 3.7262 4.9023 4.4280
Cr 5.4143 -4.9023 1.4760
Ni 1.5659 0.9428 3.0236
Ni 3.2540 -0.9428 0.0716
Ni 5.8866 0.9428 5.8325
Ni 7.5747 -0.9428 2.8805
Te 1.5317 1.0704 0.1285
Te 3.0341 3.0839 2.5819
Te -0.1564 -1.0704 3.0805
Te 1.7095 0.8054 5.6036
Te 7.7946 3.0839 0.3701
Te 3.3976 -0.8054 2.6516
Te 5.7430 0.8054 3.2524
Te 1.3460 -3.0839 5.5339
Te 7.4311 -0.8054 0.3004
Te 9.2969 1.0704 2.8235
Te 6.1065 -3.0839 3.3221
Te 7.6088 -1.0704 5.7755

=====

20
Lattice="7.1346 -7.6307 0.0000 7.1346 7.6307 0.0000 -2.8142 0.0000 7.4946" Properties=species:S:1:pos:R:3 comment="CsLiMg2Br6 (PBE-GGA, optimized geometry)" raw_formation_energy_ev_per_atom=-1.512 pbc="T T T"
Cs 5.0240 5.8677 5.6210
Cs 6.4311 -5.8677 1.8737
Li 6.4311 4.3277 1.8737
Li 5.0240 -4.3277 5.6210
Mg 2.1357 1.1653 6.2159
Mg 3.5428 -1.1653 2.4686
Mg 7.9123 1.1653 5.0261
Mg 9.3194 -1.1653 1.2788
Br -0.2369 1.4365 5.4166
Br 3.0490 3.2887 7.1532
Br 1.1701 -1.4365 1.6693
Br 3.5673 0.7884 4.0968
Br 6.9990 3.2887 4.0888
Br 4.9743 -0.7884 0.3495
Br 6.4807 0.7884 7.1451
Br 4.4561 -3.2887 3.4059
Br 7.8878 -0.7884 3.3978
Br 10.2850 1.4365 5.8253
Br 8.4061 -3.2887 0.3414
Br 11.6920 -1.4365 2.0780